No. 1
Material: CaTi4Cu3O12
Method: DFT, PBE
State: relaxed

Results
energy relative to the elements, uncorrected: -2.278 eV per atom
DFT total energy: -150.93 eV per cell
relative energy among the computed polymorphs: 0 meV/atom
symmetry: Im-3

Cell lengths 6.459, 6.459, 6.459 Å; angles 109.47, 109.47, 109.47 degrees
Sites, in units of the cell vectors:
Ca1 0.000 0.000 0.000
Ti1 0.000 0.000 0.500
Ti2 0.000 0.500 0.000
Ti3 0.500 0.000 0.000
Ti4 0.500 0.500 0.500
Cu1 0.000 0.500 0.500
Cu2 0.500 0.000 0.500
Cu3 0.500 0.500 0.000
O1 0.126 0.303 0.823
O2 0.177 0.480 0.303
O3 0.177 0.874 0.697
O4 0.303 0.177 0.480
O5 0.303 0.823 0.126
O6 0.480 0.303 0.177
O7 0.520 0.697 0.823
O8 0.697 0.177 0.874
O9 0.697 0.823 0.520
O10 0.823 0.126 0.303
O11 0.823 0.520 0.697
O12 0.874 0.697 0.177

No. 2
Material: Ca3Pm4Pt4
Method: DFT, PBE
State: relaxed

Results
DFT total energy: -57.85 eV per cell
symmetry: Immm
formation energy from the elements: -789.4 meV/atom

Cell lengths 9.600, 9.600, 9.600 Å; angles 155.93, 124.46, 61.39 degrees
Sites, in units of the cell vectors:
Ca1 0.000 0.000 0.000
Ca2 0.403 0.903 0.500
Ca3 0.597 0.097 0.500
Pm1 0.026 0.334 0.692
Pm2 0.358 0.666 0.692
Pm3 0.642 0.334 0.308
Pm4 0.974 0.666 0.308
Pt1 0.246 0.246 0.000
Pt2 0.287 0.500 0.787
Pt3 0.713 0.500 0.213
Pt4 0.754 0.754 0.000

No. 3
Material: BaAgO2
Method: DFT, PBE
State: relaxed

Results
energy relative to the elements, uncorrected: -1.121 eV per atom
DFT total energy: -38.35 eV per cell
symmetry: I-42d

Cell lengths 7.181, 7.181, 7.181 Å; angles 138.02, 138.02, 60.88 degrees
Sites, in units of the cell vectors:
Ba1 0.000 0.000 0.000
Ba2 0.750 0.250 0.500
Ag1 0.250 0.750 0.500
Ag2 0.500 0.500 0.000
O1 0.190 0.625 0.065
O2 0.375 0.440 0.565
O3 0.560 0.125 0.935
O4 0.875 0.810 0.435

No. 4
Material: PmDy2Sn2
Method: DFT, PBE
State: relaxed

Results
DFT total energy: -49.95 eV per cell
symmetry: Cmc2_1
formation energy from the elements: -603.2 meV/atom

Cell lengths 9.671, 9.671, 6.540 Å; angles 90.00, 90.00, 150.74 degrees
Sites, in units of the cell vectors:
Pm1 0.108 0.892 0.500
Pm2 0.892 0.108 0.000
Dy1 0.314 0.686 0.510
Dy2 0.498 0.502 0.252
Dy3 0.502 0.498 0.752
Dy4 0.686 0.314 0.010
Sn1 0.073 0.927 0.003
Sn2 0.296 0.704 0.013
Sn3 0.704 0.296 0.513
Sn4 0.927 0.073 0.503

No. 5
Material: BPb
Method: DFT, PBE
State: relaxed

Results
DFT total energy: -7.69 eV per cell
relative energy among the computed polymorphs: 538 meV/atom
symmetry: Fm-3m
formation energy from the elements: 1348.9 meV/atom

Cell lengths 3.724, 3.724, 3.724 Å; angles 60.00, 60.00, 60.00 degrees
Sites, in units of the cell vectors:
B1 0.000 0.000 0.000
Pb1 0.500 0.500 0.500

No. 6
Material: Ac3Tl3SbSe8
Method: DFT, PBE
State: relaxed

Results
energy relative to the elements, uncorrected: -1.145 eV per atom
DFT total energy: -68.60 eV per cell
symmetry: R-3m

Cell lengths 9.351, 9.351, 9.351 Å; angles 57.14, 57.14, 57.14 degrees
Sites, in units of the cell vectors:
Ac1 0.000 0.500 0.500
Ac2 0.500 0.000 0.500
Ac3 0.500 0.500 0.000
Tl1 0.000 0.000 0.500
Tl2 0.000 0.500 0.000
Tl3 0.500 0.000 0.000
Sb1 0.000 0.000 0.000
Se1 0.221 0.221 0.763
Se2 0.221 0.763 0.221
Se3 0.237 0.779 0.779
Se4 0.260 0.260 0.260
Se5 0.740 0.740 0.740
Se6 0.763 0.221 0.221
Se7 0.779 0.237 0.779
Se8 0.779 0.779 0.237

No. 7
Material: V2Ni15Mo2
Method: DFT, PBE
State: relaxed

Results
DFT total energy: -125.10 eV per cell
symmetry: R-3m
formation energy from the elements: 80.0 meV/atom

Cell lengths 6.175, 6.175, 6.175 Å; angles 80.86, 80.86, 80.86 degrees
Sites, in units of the cell vectors:
V1 0.097 0.097 0.097
V2 0.903 0.903 0.903
Ni1 0.000 0.000 0.500
Ni2 0.000 0.315 0.685
Ni3 0.000 0.500 0.000
Ni4 0.000 0.685 0.315
Ni5 0.162 0.654 0.654
Ni6 0.315 0.000 0.685
Ni7 0.315 0.685 0.000
Ni8 0.346 0.346 0.838
Ni9 0.346 0.838 0.346
Ni10 0.500 0.000 0.000
Ni11 0.654 0.162 0.654
Ni12 0.654 0.654 0.162
Ni13 0.685 0.000 0.315
Ni14 0.685 0.315 0.000
Ni15 0.838 0.346 0.346
Mo1 0.303 0.303 0.303
Mo2 0.697 0.697 0.697

No. 8
Material: GaCuAg2
Method: DFT, PBE
State: relaxed

Results
DFT total energy: -23.74 eV per cell
symmetry: I-42d
formation energy from the elements: 239.4 meV/atom

Cell lengths 5.787, 5.787, 5.787 Å; angles 102.49, 102.49, 124.57 degrees
Sites, in units of the cell vectors:
Ga1 0.000 0.000 0.000
Ga2 0.750 0.250 0.500
Cu1 0.250 0.750 0.500
Cu2 0.500 0.500 0.000
Ag1 0.131 0.125 0.506
Ag2 0.375 0.869 0.994
Ag3 0.619 0.625 0.494
Ag4 0.875 0.381 0.006